The following is a DFT calculation (PBE) of a geometry-optimized NdIn6Ag6 structure.

a b c (Å): 5.847 9.708 9.844
angles (deg): 90.00 90.00 90.00
Space group Immm (No. 71)
Asymmetric unit:
Nd: 0.000 0.000 0.000 [2 per cell]
In: 0.000 0.000 0.345 [4 per cell]
In: 0.000 0.345 0.000 [4 per cell]
In: 0.000 0.500 0.314 [4 per cell]
Ag: 0.000 0.267 0.500 [4 per cell]
Ag: 0.250 0.250 0.250 [8 per cell]

Calculated values
The value obtained for the total magnetic moment is 0.001 μB per atom.

The following is a DFT calculation (PBE) of a geometry-optimized NaSr3Pt structure.

a b c (Å): 5.978 5.978 5.978
angles (deg): 90.00 90.00 90.00
Space group Pm-3m (No. 221)
Asymmetric unit:
Na: 0.000 0.000 0.000 [1 per cell]
Sr: 0.000 0.500 0.500 [3 per cell]
Pt: 0.500 0.500 0.500 [1 per cell]

Calculated values
The value obtained for the total magnetic moment is 0.000 μB per atom.

The following is a DFT calculation (PBE) of a geometry-optimized Nb4SbC2S structure.

a b c (Å): 3.3406 3.3406 12.4133
angles (deg): 90.00 90.00 120.00
Space group P-6m2 (No. 187)
Asymmetric unit:
Nb: 0.0000 0.0000 0.1421 [2 per cell]
Nb: 0.3333 0.6667 0.3220 [2 per cell]
Sb: 0.0000 0.0000 0.5000 [1 per cell]
C: 0.6667 0.3333 0.2350 [2 per cell]
S: 0.3333 0.6667 0.0000 [1 per cell]

Calculated values
The value obtained for the total magnetic moment is 0.000 μB per atom.

The following is a DFT calculation (PBE) of a geometry-optimized SmCuAsP structure.

a b c (Å): 3.858 3.858 10.014
angles (deg): 90.00 90.00 90.00
Space group P4/nmm (No. 129, origin choice 2)
Asymmetric unit:
Sm: 0.250 0.250 0.226 [2 per cell]
Cu: 0.250 0.750 0.500 [2 per cell]
As: 0.250 0.250 0.658 [2 per cell]
P: 0.250 0.750 0.000 [2 per cell]

Calculated values
The polymorph energy (0 for the lowest one) is 102 meV per atom. The value obtained for the total magnetic moment is 0.000 μB per atom.

The following is a DFT calculation (PBE) of a geometry-optimized AcGdNb structure.

a b c (Å): 7.422 7.422 7.422
angles (deg): 90.00 90.00 90.00
Space group F-43m (No. 216)
Asymmetric unit:
Ac: 0.000 0.000 0.000 [4 per cell]
Gd: 0.000 0.000 0.500 [4 per cell]
Nb: 0.250 0.250 0.750 [4 per cell]

Calculated values
The value obtained for the total magnetic moment is 0.743 μB per atom.

The following is a DFT calculation (PBE) of a geometry-optimized PmAs2Pd4 structure.

a b c (Å): 7.779 7.779 4.083
angles (deg): 90.00 90.00 90.00
Space group P4_2/mnm (No. 136)
Asymmetric unit:
Pm: 0.000 0.000 0.000 [2 per cell]
As: 0.220 0.220 0.500 [4 per cell]
Pd: 0.089 0.660 0.500 [8 per cell]

Calculated values
The value obtained for the total magnetic moment is 0.000 μB per atom.

The following is a DFT calculation (PBE) of a geometry-optimized Hg2SbAs structure.

a b c (Å): 7.253 7.253 7.253
angles (deg): 90.00 90.00 90.00
Space group F-43m (No. 216)
Asymmetric unit:
Hg: 0.000 0.000 0.000 [4 per cell]
Hg: 0.250 0.250 0.250 [4 per cell]
Sb: 0.250 0.250 0.750 [4 per cell]
As: 0.000 0.000 0.500 [4 per cell]

The following is a DFT calculation (PBE) of a geometry-optimized NaTbCdSe3 structure.

a b c (Å): 4.162 13.836 11.103
angles (deg): 90.00 90.00 90.00
Space group Cmcm (No. 63)
Asymmetric unit:
Na: 0.000 0.243 0.250 [4 per cell]
Tb: 0.000 0.000 0.000 [4 per cell]
Cd: 0.000 0.468 0.750 [4 per cell]
Se: 0.000 0.089 0.750 [4 per cell]
Se: 0.000 0.361 0.557 [8 per cell]

Calculated values
The polymorph energy (0 for the lowest one) is 21 meV per atom. The value obtained for the total magnetic moment is 0.001 μB per atom.

The following is a DFT calculation (PBE) of a geometry-optimized FeB4 structure.

a b c (Å): 6.501 5.373 5.365
angles (deg): 90.00 90.00 90.00
Space group Cmce (No. 64)
Asymmetric unit:
Fe: 0.000 0.000 0.000 [4 per cell]
B: 0.126 0.249 0.251 [16 per cell]

Calculated values
The value obtained for the total magnetic moment is 0.151 μB per atom.

The following is a DFT calculation (PBE) of a geometry-optimized USn structure.

a b c (Å): 6.193 6.193 6.193
angles (deg): 90.00 90.00 90.00
Space group Fm-3m (No. 225)
Asymmetric unit:
U: 0.000 0.000 0.000 [4 per cell]
Sn: 0.000 0.000 0.500 [4 per cell]

Calculated values
The value obtained for the total magnetic moment is 1.016 μB per atom.

The following is a DFT calculation (PBE) of a geometry-optimized YAgPt2 structure.

a b c (Å): 6.696 6.696 6.696
angles (deg): 90.00 90.00 90.00
Space group F-43m (No. 216)
Asymmetric unit:
Y: 0.000 0.000 0.000 [4 per cell]
Ag: 0.250 0.250 0.250 [4 per cell]
Pt: 0.000 0.000 0.500 [4 per cell]
Pt: 0.250 0.250 0.750 [4 per cell]

Calculated values
The value obtained for the total magnetic moment is 0.000 μB per atom.

The following is a DFT calculation (PBE) of a geometry-optimized NdTmZn2Sn2 structure.

a b c (Å): 4.5132 4.5132 16.0590
angles (deg): 90.00 90.00 120.00
Space group P6_3/mmc (No. 194)
Asymmetric unit:
Nd: 0.0000 0.0000 0.0000 [2 per cell]
Tm: 0.0000 0.0000 0.2500 [2 per cell]
Zn: 0.3333 0.6667 0.1636 [4 per cell]
Sn: 0.3333 0.6667 0.6188 [4 per cell]

Calculated values
The polymorph energy (0 for the lowest one) is 0 meV per atom. The value obtained for the total magnetic moment is 0.000 μB per atom.

The following is a DFT calculation (PBE) of a geometry-optimized BiIrOs2 structure.

a b c (Å): 6.500 6.500 6.500
angles (deg): 90.00 90.00 90.00
Space group F-43m (No. 216)
Asymmetric unit:
Bi: 0.000 0.000 0.000 [4 per cell]
Ir: 0.250 0.250 0.250 [4 per cell]
Os: 0.000 0.000 0.500 [4 per cell]
Os: 0.250 0.250 0.750 [4 per cell]

Calculated values
The value obtained for the total magnetic moment is 0.504 μB per atom.

The following is a DFT calculation (PBE) of a geometry-optimized ZrFeB structure.

a b c (Å): 5.730 5.730 5.730
angles (deg): 90.00 90.00 90.00
Space group F-43m (No. 216)
Asymmetric unit:
Zr: 0.000 0.000 0.000 [4 per cell]
Fe: 0.250 0.250 0.250 [4 per cell]
B: 0.250 0.250 0.750 [4 per cell]

Calculated values
The polymorph energy (0 for the lowest one) is 1514 meV per atom. The value obtained for the total magnetic moment is 0.360 μB per atom.

The following is a DFT calculation (PBE) of a geometry-optimized MgScNb structure.

a b c (Å): 6.542 6.542 6.542
angles (deg): 90.00 90.00 90.00
Space group F-43m (No. 216)
Asymmetric unit:
Mg: 0.000 0.000 0.000 [4 per cell]
Sc: 0.250 0.250 0.250 [4 per cell]
Nb: 0.250 0.250 0.750 [4 per cell]

Calculated values
The polymorph energy (0 for the lowest one) is 0 meV per atom. The value obtained for the total magnetic moment is 0.132 μB per atom.

The following is a DFT calculation (PBE) of a geometry-optimized TePd12 structure.

a b c (Å): 11.589 2.811 22.907
angles (deg): 90.00 90.20 90.00
Space group P2_1/m (No. 11)
Asymmetric unit:
Te: 0.134 0.250 0.254 [2 per cell]
Pd: 0.027 0.250 0.052 [2 per cell]
Pd: 0.085 0.750 0.153 [2 per cell]
Pd: 0.085 0.750 0.782 [2 per cell]
Pd: 0.140 0.250 0.886 [2 per cell]
Pd: 0.193 0.750 0.990 [2 per cell]
Pd: 0.251 0.250 0.092 [2 per cell]
Pd: 0.302 0.750 0.824 [2 per cell]
Pd: 0.309 0.750 0.200 [2 per cell]
Pd: 0.360 0.250 0.928 [2 per cell]
Pd: 0.417 0.750 0.031 [2 per cell]
Pd: 0.467 0.250 0.768 [2 per cell]
Pd: 0.470 0.250 0.133 [2 per cell]

Calculated values
The polymorph energy (0 for the lowest one) is 149 meV per atom.

The following is a DFT calculation (PBE) of a geometry-optimized TbErCo2Si2C structure.

a b c (Å): 10.540 3.867 6.778
angles (deg): 90.00 129.61 90.00
Space group Cm (No. 8)
Asymmetric unit:
Tb: 0.000 0.000 0.000 [2 per cell]
Er: 0.127 0.000 0.594 [2 per cell]
Co: 0.263 0.500 0.386 [2 per cell]
Co: 0.366 0.000 0.210 [2 per cell]
Si: 0.220 0.500 0.001 [2 per cell]
Si: 0.408 0.000 0.593 [2 per cell]
C: 0.066 0.500 0.302 [2 per cell]

Calculated values
The value obtained for the total magnetic moment is 0.003 μB per atom.

The following is a DFT calculation (PBE) of a geometry-optimized LiZnCdGa structure.

a b c (Å): 6.544 6.544 6.544
angles (deg): 90.00 90.00 90.00
Space group F-43m (No. 216)
Asymmetric unit:
Li: 0.000 0.000 0.000 [4 per cell]
Zn: 0.250 0.250 0.250 [4 per cell]
Cd: 0.000 0.000 0.500 [4 per cell]
Ga: 0.250 0.250 0.750 [4 per cell]

Calculated values
The polymorph energy (0 for the lowest one) is 25 meV per atom.

The following is a DFT calculation (PBE) of a geometry-optimized ZnGa2Se2S2 structure.

a b c (Å): 5.469 5.478 6.575
angles (deg): 113.84 114.36 90.02
Space group P1 (No. 1)
Asymmetric unit:
Zn: 0.000 0.000 0.000 [1 per cell]
Ga: 0.262 0.761 0.500 [1 per cell]
Ga: 0.500 0.523 0.999 [1 per cell]
Se: 0.103 0.146 0.727 [1 per cell]
Se: 0.868 0.386 0.272 [1 per cell]
S: 0.390 0.892 0.257 [1 per cell]
S: 0.625 0.625 0.742 [1 per cell]

The following is a DFT calculation (PBE) of a geometry-optimized Dy3Zr3NiTe2 structure.

a b c (Å): 8.1488 8.1488 3.6679
angles (deg): 90.00 90.00 120.00
Space group P-62m (No. 189)
Asymmetric unit:
Dy: 0.0000 0.2445 0.0000 [3 per cell]
Zr: 0.0000 0.5907 0.5000 [3 per cell]
Ni: 0.0000 0.0000 0.5000 [1 per cell]
Te: 0.3333 0.6667 0.0000 [2 per cell]

Calculated values
The polymorph energy (0 for the lowest one) is 140 meV per atom. The value obtained for the total magnetic moment is 0.002 μB per atom.

Short version: uncorrected energy = -81.17, -14.59, -71.74, -43.29, -65.86, -80.13, -33.13, -98.96, -130.01, -57.84, -94.92, -46.74, -124.22, -81.77, -60.40, -127.28, -96.59, -30.10, -27.35, -56.00 eV/cell, in the order given.
Short version: volume = 558.8, 213.6, 120.0, 149.1, 408.9, 247.1, 381.5, 639.4, 187.4, 237.6, 300.2, 283.3, 274.7, 188.1, 280.0, 746.3, 212.8, 280.3, 160.8, 210.9 Å³/cell, in the order given.